Here is crystalline EuHoTmTh at its relaxed geometry from Alexandria via LeMat-Bulk. Energies are from PBE.

Computed properties:
theoretical density: 9.0 g/cm3
formation energy from the elements: 0.190 eV/atom

Unit cell a=8.085 b=8.085 c=8.085 alpha=90.00 beta=90.00 gamma=90.00
Space group F-43m (No. 216)
One atom of each set of equivalent atoms:
Eu: 0.000 0.000 0.000 [4 per cell]
Ho: 0.250 0.250 0.750 [4 per cell]
Tm: 0.250 0.250 0.250 [4 per cell]
Th: 0.000 0.000 0.500 [4 per cell]